Version w
Ca3Hg2, relaxed, DFT GGA-PBE; magnetic moment = 0.00 μB per formula unit; space-group type = P4/mbm, No. 127
1.0
8.5286 0.0000 0.0000
0.0000 8.5286 0.0000
0.0000 0.0000 4.2243
Hg Ca
4 6
direct
0.3597 0.8597 0.0000
0.1403 0.3597 0.0000
0.8597 0.6403 0.0000
0.6403 0.1403 0.0000
0.0000 0.0000 0.0000
0.1567 0.6567 0.5000
0.3433 0.1567 0.5000
0.6567 0.8433 0.5000
0.8433 0.3433 0.5000
0.5000 0.5000 0.0000

Version x
Ca3Hg2, relaxed, DFT GGA-PBE; magnetic moment = 0.00 μB per formula unit; space-group type = R-3c, No. 167
1.0
7.3166 0.0000 0.0000
3.6583 6.3364 0.0000
3.6583 2.1121 7.3120
Ca Hg
6 4
direct
0.6298 0.8702 0.2500
0.1298 0.7500 0.7500
0.7500 0.3702 0.7500
0.3702 0.1298 0.7500
0.2500 0.6298 0.2500
0.8702 0.2500 0.2500
0.3200 0.3200 0.0399
0.8200 0.8200 0.5399
0.1800 0.1800 0.4601
0.6800 0.6800 0.9601

Which is most stable, and by how much? version w, by 0.122 eV/atom.

Version w
CaHoHg6, relaxed, DFT GGA-PBE; magnetic moment = 0.00 μB per formula unit; space-group type = P4/mmm, No. 123
1.0
-1.1480 2.0035 4.0568
2.9591 -2.8337 2.2368
6.7094 6.1194 -1.1234
Hg Ca Ho
6 1 1
direct
0.0000 0.5000 0.7551
0.0000 0.5000 0.2449
0.5000 0.0000 0.2449
0.5000 0.5000 0.5000
0.5000 0.0000 0.7551
0.5000 0.5000 0.0000
0.0000 0.0000 0.5000
0.0000 0.0000 0.0000

Version x
CaHoHg6, relaxed, DFT GGA-PBE; magnetic moment = 0.00 μB per formula unit; space-group type = Amm2, No. 38
1.0
5.1298 0.0000 0.0000
0.0000 6.6222 -0.2047
0.0000 -3.1155 5.8471
Hg Ho Ca
6 1 1
direct
0.0000 0.0754 0.4118
0.5000 0.9159 0.5840
0.5000 0.4160 0.0841
0.0000 0.5882 0.9246
0.0000 0.5855 0.4145
0.5000 0.9186 0.0814
0.0000 0.0849 0.9151
0.5000 0.4152 0.5848

Which is most stable, and by how much? version x, by 0.021 eV/atom.

Version w
CaHoHg4, relaxed, DFT GGA-PBE; magnetic moment = 0.00 μB per formula unit; space-group type = Cmmm, No. 65
1.0
-3.2665 0.6100 -3.6647
-1.4366 0.4468 4.7129
-3.1905 8.0001 0.8543
Hg Ca Ho
4 1 1
direct
0.6021 0.9307 0.2307
0.9348 0.5981 0.2306
0.4005 0.0638 0.7656
0.0678 0.3965 0.7657
0.0013 0.9973 0.4981
0.5013 0.4973 0.9981

Version x
CaHoHg4, relaxed, DFT GGA-PBE; magnetic moment = 0.00 μB per formula unit; space-group type = C2/m, No. 12
1.0
0.5407 -3.8370 -0.1694
4.5043 -1.1827 -3.2352
2.7074 -1.8980 7.2300
Hg Ho Ca
4 1 1
direct
0.6724 0.9946 0.6606
0.3276 0.0054 0.3394
0.8411 0.4901 0.8276
0.1589 0.5099 0.1724
0.5000 0.5000 0.5000
0.0000 0.0000 0.0000

Which is most stable, and by how much? version w, by 0.014 eV/atom.

Version w
CaHoZnHg, relaxed, DFT GGA-PBE; magnetic moment = 0.00 μB per formula unit; space-group type = P4mm, No. 99
1.0
3.6923 0.0000 0.0000
0.0000 3.6923 0.0000
0.0000 0.0000 7.3207
Ho Ca Hg Zn
1 1 1 1
direct
0.5000 0.5000 0.5952
0.5000 0.5000 0.1147
0.0000 0.0000 0.8414
0.0000 0.0000 0.3767

Version x
CaHoZnHg, relaxed, DFT GGA-PBE; magnetic moment = 0.00 μB per formula unit; space-group type = F-43m, No. 216
1.0
-0.5096 -5.1717 0.0391
2.9145 -2.8741 3.2020
-2.1822 -2.3653 4.0806
Ho Zn Ca Hg
1 1 1 1
direct
0.7500 0.7500 0.7500
0.0000 0.0000 0.0000
0.2500 0.2500 0.2500
0.5000 0.5000 0.5000

Which is most stable, and by how much? version w, by 0.013 eV/atom.

Version w
Ca2HgI, relaxed, DFT GGA-PBE; magnetic moment = 0.00 μB per formula unit; space-group type = P4/mmm, No. 123
1.0
-1.8789 2.4551 2.2886
-2.8364 -2.5637 0.4216
3.9458 -3.2582 6.7345
I Hg Ca
1 1 2
direct
0.5000 0.5000 0.5000
0.5000 0.5000 0.0000
0.0000 0.0000 0.7839
0.0000 0.0000 0.2161

Version x
Ca2HgI, relaxed, DFT GGA-PBE; magnetic moment = 0.30 μB per formula unit; space-group type = R3m, No. 160
1.0
-4.1781 -0.4383 0.1756
-1.9345 -0.2347 3.7259
-2.9442 8.4482 1.3761
I Ca Hg
1 2 1
direct
0.4981 0.4981 0.5057
0.0751 0.0751 0.7748
0.2593 0.2593 0.2220
0.6675 0.6675 0.9975

Version y
Ca2HgI, relaxed, DFT GGA-PBE; magnetic moment = 0.00 μB per formula unit; space-group type = Fm-3m, No. 225
1.0
0.7373 3.4931 4.2918
-3.5968 4.1856 0.8421
-3.4902 -0.1523 4.3544
Ca I Hg
2 1 1
direct
0.7500 0.7500 0.7500
0.2500 0.2500 0.2500
0.0000 0.0000 0.0000
0.5000 0.5000 0.5000

Version z
Ca2HgI, relaxed, DFT GGA-PBE; magnetic moment = 0.00 μB per formula unit; space-group type = I-42d, No. 122
1.0
8.3386 0.0000 0.0000
0.0000 8.3386 0.0000
4.1693 4.1693 4.0944
Hg Ca I
2 4 2
direct
0.7500 0.2500 0.5000
0.0000 0.0000 0.0000
0.8750 0.8888 0.7500
0.6388 0.1250 0.2500
0.1112 0.6250 0.2500
0.3750 0.3612 0.7500
0.5000 0.5000 0.0000
0.2500 0.7500 0.5000

Which is most stable, and by how much? version x, by 0.038 eV/atom.

Version w
CaHgI, relaxed, DFT GGA-PBE; magnetic moment = 0.00 μB per formula unit; space-group type = P-1, No. 2
1.0
4.4801 -0.1495 0.1093
-2.1140 3.9515 0.0164
-0.2838 -0.4221 12.6355
Ca Hg I
2 2 2
direct
0.0036 0.0105 0.7056
0.9964 0.9895 0.2944
0.6658 0.3308 0.4476
0.3342 0.6692 0.5524
0.6724 0.3508 0.8473
0.3276 0.6492 0.1527

Version x
CaHgI, relaxed, DFT GGA-PBE; magnetic moment = 0.00 μB per formula unit; space-group type = I4mm, No. 107
1.0
-1.9704 3.1424 1.3210
-3.1832 -1.1504 -2.0115
0.4744 -4.5728 5.7178
Hg I Ca
1 1 1
direct
0.9637 0.9637 0.9273
0.7031 0.7031 0.4061
0.3333 0.3333 0.6666

Which is most stable, and by how much? version w, by 0.165 eV/atom.

Version w
CaHg2I2, relaxed, DFT GGA-PBE; magnetic moment = 0.00 μB per formula unit; space-group type = P4/mbm, No. 127
1.0
-2.4424 0.4575 7.7966
0.7337 -8.1194 0.7062
6.6445 0.7775 2.0358
I Ca Hg
4 2 4
direct
0.8269 0.6731 0.0000
0.1731 0.3269 0.0000
0.6731 0.1731 0.0000
0.3269 0.8269 0.0000
0.5000 0.5000 0.0000
0.0000 0.0000 0.0000
0.6457 0.8543 0.5000
0.3543 0.1457 0.5000
0.8543 0.3543 0.5000
0.1457 0.6457 0.5000

Version x
CaHg2I2, relaxed, DFT GGA-PBE; magnetic moment = 0.00 μB per formula unit; space-group type = I4/mmm, No. 139
1.0
4.1285 0.0000 0.0000
0.0000 4.1285 0.0000
2.0643 2.0643 10.8426
Hg I Ca
2 2 1
direct
0.2500 0.7500 0.5000
0.7500 0.2500 0.5000
0.5848 0.5848 0.8303
0.4152 0.4152 0.1697
0.0000 0.0000 0.0000

Which is most stable, and by how much? version x, by 0.018 eV/atom.

Version w
CaHgTe2I, relaxed, DFT GGA-PBE; magnetic moment = 2.96 μB per formula unit; space-group type = P4/mmm, No. 123
1.0
-1.9800 4.5974 3.6244
-4.5600 -3.6105 2.0887
3.6049 -1.9689 4.4669
I Te Ca Hg
1 2 1 1
direct
0.0000 0.0000 0.5000
0.5000 0.0000 0.0000
0.0000 0.5000 0.0000
0.0000 0.0000 0.0000
0.5000 0.5000 0.5000

Version x
CaHgTe2I, relaxed, DFT GGA-PBE; magnetic moment = 0.00 μB per formula unit; space-group type = P4/mmm, No. 123
1.0
-1.4064 -2.0372 -5.0203
1.5860 -5.1142 1.6310
-5.6272 -1.1000 2.0228
Ca Te I Hg
1 2 1 1
direct
0.5000 0.5000 0.5000
0.0000 0.5000 0.0000
0.5000 0.0000 0.0000
0.0000 0.0000 0.5000
0.0000 0.0000 0.0000

Which is most stable, and by how much? version x, by 0.017 eV/atom.

Version w
CaIn7Hg12, relaxed, DFT GGA-PBE; magnetic moment = 0.00 μB per formula unit; space-group type = R-3, No. 148
1.0
-9.5368 -1.0949 -10.2499
-1.7997 1.7291 7.9032
-5.1089 6.1027 -2.3118
In Hg Ca
7 12 1
direct
0.8497 0.9041 0.5313
0.0544 0.4354 0.0959
0.5000 0.0000 0.0000
0.9456 0.5646 0.9041
0.1503 0.0959 0.4687
0.3810 0.5313 0.5646
0.6190 0.4687 0.4354
0.5284 0.3704 0.8773
0.5943 0.1227 0.2477
0.7517 0.6816 0.9613
0.7130 0.9613 0.3571
0.4716 0.6296 0.1227
0.9299 0.6429 0.3184
0.4057 0.8773 0.7523
0.2870 0.0387 0.6429
0.1580 0.7523 0.3704
0.0701 0.3571 0.6816
0.2483 0.3184 0.0387
0.8420 0.2477 0.6296
0.0000 0.0000 0.0000

Version x
CaIn7Hg12, relaxed, DFT GGA-PBE; magnetic moment = 0.00 μB per formula unit; space-group type = Im-3, No. 204
1.0
9.4372 0.0000 0.0000
-3.1457 8.8975 0.0000
-3.1457 -4.4488 7.7055
In Hg Ca
7 12 1
direct
0.5000 0.5000 0.5000
0.0000 0.0000 0.5000
0.0000 0.5000 0.0000
0.0000 0.5000 0.5000
0.5000 0.0000 0.5000
0.5000 0.0000 0.0000
0.5000 0.5000 0.0000
0.1198 0.2712 0.8486
0.1514 0.4227 0.2712
0.4227 0.2712 0.1514
0.8802 0.7288 0.1514
0.7288 0.8486 0.5773
0.2712 0.8486 0.1198
0.2712 0.1514 0.4227
0.7288 0.1514 0.8802
0.1514 0.8802 0.7288
0.5773 0.7288 0.8486
0.8486 0.5773 0.7288
0.8486 0.1198 0.2712
0.0000 0.0000 0.0000

Which is most stable, and by how much? version w, by 0.086 eV/atom.

Version w
Ca2In2Hg, relaxed, DFT GGA-PBE; magnetic moment = 0.00 μB per formula unit; space-group type = C2/m, No. 12
1.0
-0.5193 0.0298 4.7640
3.9724 -3.9319 2.8680
6.0711 8.1753 3.0210
Hg Ca In
2 4 4
direct
0.3870 0.8955 0.3305
0.6130 0.1045 0.6695
0.0762 0.7416 0.1059
0.3200 0.6920 0.6680
0.9238 0.2584 0.8941
0.6800 0.3080 0.3320
0.3537 0.1808 0.1118
0.9215 0.7197 0.4373
0.0785 0.2803 0.5627
0.6463 0.8192 0.8882

Version x
Ca2In2Hg, relaxed, DFT GGA-PBE; magnetic moment = 0.00 μB per formula unit; space-group type = I4/mmm, No. 139
1.0
4.9454 0.0000 0.0000
0.0000 4.9454 0.0000
2.4727 2.4727 6.7909
Hg In Ca
1 2 2
direct
0.0000 0.0000 0.0000
0.5991 0.5991 0.8018
0.4009 0.4009 0.1982
0.2500 0.7500 0.5000
0.7500 0.2500 0.5000

Version y
Ca2In2Hg, relaxed, DFT GGA-PBE; magnetic moment = 0.00 μB per formula unit; space-group type = P4/mbm, No. 127
1.0
8.8662 0.0000 0.0000
0.0000 8.8662 0.0000
0.0000 0.0000 3.9743
Ca In Hg
4 4 2
direct
0.6768 0.1768 0.0000
0.3232 0.8232 0.0000
0.8232 0.6768 0.0000
0.1768 0.3232 0.0000
0.8799 0.3799 0.5000
0.6201 0.8799 0.5000
0.1201 0.6201 0.5000
0.3799 0.1201 0.5000
0.0000 0.0000 0.0000
0.5000 0.5000 0.0000

Which is most stable, and by how much? version w, by 0.161 eV/atom.

Version w
Ca2In2Hg, relaxed, DFT GGA-PBE; magnetic moment = 0.00 μB per formula unit; space-group type = Amm2, No. 38
1.0
3.6471 0.0000 0.0000
0.0000 4.6270 -1.5016
0.0000 0.0803 8.1270
Ca In Hg
2 2 1
direct
0.0000 0.6918 0.3837
0.0000 0.9240 0.8480
0.5000 0.5076 0.0152
0.5000 0.3079 0.6158
0.5000 0.1108 0.2216

Version x
Ca2In2Hg, relaxed, DFT GGA-PBE; magnetic moment = 0.00 μB per formula unit; space-group type = P4/mbm, No. 127
1.0
-1.0777 2.4889 -7.2024
-6.4819 -4.1241 -0.4553
-2.5457 3.8137 1.6988
In Ca Hg
4 4 2
direct
0.1348 0.3652 0.0000
0.3652 0.8652 0.0000
0.6348 0.1348 0.0000
0.8652 0.6348 0.0000
0.3319 0.1681 0.5000
0.6681 0.8319 0.5000
0.8319 0.3319 0.5000
0.1681 0.6681 0.5000
0.0000 0.0000 0.0000
0.5000 0.5000 0.0000

Which is most stable, and by how much? version w, by 0.063 eV/atom.